No. 1
The following is a GGA-PBE calculation of crystalline CrCoP2Cl at its relaxed geometry, from Alexandria.

Cell lengths 4.404, 4.404, 4.877 Å; angles 90.00, 90.00, 90.00 degrees
Fractional positions:
Cr (0.000, 0.000, 0.000)
Co (0.500, 0.500, 0.500)
P (0.000, 0.500, 0.000)
P (0.500, 0.000, 0.000)
Cl (0.000, 0.000, 0.500)

Values from the calculation:
Excess energy over the best structure of this formula in the dataset in meV/atom: 0.0
Energy relative to the elements, uncorrected in eV per atom: 0.6992
ρ in g/cm3: 3.7
E in eV per atom: -5.1799



No. 2
The following is a GGA-PBE calculation of crystalline CrCoPCl2 at its relaxed geometry, from Alexandria.

Cell lengths 4.619, 4.619, 4.601 Å; angles 90.00, 90.00, 90.00 degrees
Fractional positions:
Cr (0.000, 0.000, 0.000)
Co (0.500, 0.500, 0.500)
P (0.000, 0.000, 0.500)
Cl (0.000, 0.500, 0.000)
Cl (0.500, 0.000, 0.000)

Values from the calculation:
Excess energy over the best structure of this formula in the dataset in meV/atom: 323.1
Energy relative to the elements, uncorrected in eV per atom: 0.6507
ρ in g/cm3: 3.6
E in eV per atom: -4.5158



No. 3
The following is a GGA-PBE calculation of crystalline CrCoP2Cl at its relaxed geometry, from Alexandria.

Cell lengths 4.280, 4.280, 4.647 Å; angles 90.00, 90.00, 90.00 degrees
Fractional positions:
Cr (0.000, 0.000, 0.000)
Co (0.500, 0.500, 0.500)
P (0.000, 0.500, 0.500)
P (0.500, 0.000, 0.500)
Cl (0.500, 0.500, 0.000)

Values from the calculation:
Excess energy over the best structure of this formula in the dataset in meV/atom: 206.0
Energy relative to the elements, uncorrected in eV per atom: 0.9053
ρ in g/cm3: 4.1
E in eV per atom: -4.9739



Question: Among the records above, which one has the lowest excess energy over the best structure of this formula in the dataset?
Answer: number 1